VASP calculation (PBE) on LiNdNpO6 after structural relaxation.

The calculation puts the uncorrected formation energy at -2159 kJ/mol of formula units. Its crystal system is trigonal. As for the density of states at the Fermi level: 18.31 states/eV per cell. For the calculated density, the calculation gives 6.29 g/cm³.

It has space group P-31c (No. 163), with a = 5.3549 Å, b = 5.3549 Å, c = 10.2873 Å, α = 90.00°, β = 90.00° and γ = 120.00°. Symmetry generates all atoms from Li at (0.3333, 0.6667, 0.2500), Nd at (0.0000, 0.0000, 0.0000), Np at (0.3333, 0.6667, 0.7500) and O at (0.0198, 0.3660, 0.6400).

***

VASP calculation (PBE) on BaCrP2S after structural relaxation.

The calculation puts the uncorrected formation energy at 1169 kJ/mol of formula units. Its crystal system is tetragonal. The calculation puts the relative energy among the computed polymorphs at 68.20 kcal/mol of atoms. As for the density of states at the Fermi level: 13.13 states/eV per cell. For the calculated density, the calculation gives 3.06 g/cm³.

It has space group P4/mmm (No. 123), with a = 5.383 Å, b = 5.383 Å, c = 5.298 Å, α = 90.00°, β = 90.00° and γ = 90.00°. Symmetry generates all atoms from Ba at (0.000, 0.000, 0.000), Cr at (0.000, 0.000, 0.500), P at (0.000, 0.500, 0.000) and S at (0.500, 0.500, 0.500).

***

VASP calculation (PBE) on Pu8AsRh5 after structural relaxation.

Its crystal system is tetragonal. As for the density of states at the Fermi level: 115.61 states/eV per cell. The formation energy is -596 kJ/mol of formula units. For the calculated density, the calculation gives 13.47 g/cm³.

It has space group I-4 (No. 82), with a = 8.608 Å, b = 8.608 Å, c = 8.460 Å, α = 90.00°, β = 90.00° and γ = 90.00°. Symmetry generates all atoms from Pu at (0.067, 0.317, 0.445), Pu at (0.070, 0.176, 0.809), As at (0.000, 0.500, 0.750), Rh at (0.000, 0.000, 0.500) and Rh at (0.126, 0.251, 0.124).